SmZrZn4: optimized geometry, PBE.

Summary:
The calculation puts the energy relative to the lowest polymorph listed for this composition at 0.000 eV/atom. The formation energy comes out at -297 meV per atom.

Unit cell a=4.281 b=7.013 c=7.754 alpha=90.00 beta=90.00 gamma=90.00
Space group Immm (No. 71)
Inequivalent atoms, fractional coordinates:
1 Sm 0.000 0.000 0.000 x2
2 Zr 0.000 0.500 0.000 x2
3 Zn 0.000 0.216 0.334 x8